OsWF3: optimized geometry, GGA+U.

Calculated values
Distance to the lowest polymorph of the same formula: 0.3381 eV per atom
DFT total energy: -4.27 eV/atom
Total magnetic moment: 0.000 μB per formula unit

abc: 4.1647 4.1647 4.1647
angles: 90.00 90.00 90.00
Fractional coordinates of all 5 atoms:
Os 0.0000 0.0000 0.0000
W 0.5000 0.5000 0.5000
F 0.0000 0.5000 0.5000
F 0.5000 0.0000 0.5000
F 0.5000 0.5000 0.0000